[1]
Entry from the Alexandria database: an optimized crystal structure of Sr2ZnReAs (GGA-PBE).

Geometry as extended XYZ:
```
5
Lattice="5.9273 0.0000 0.0000 0.0000 4.6282 0.0000 0.0000 0.0000 5.9273" Properties=species:S:1:pos:R:3 pbc="T T T"
Re 2.9637 2.3141 2.9637
As 0.0000 2.3141 0.0000
Zn 0.0000 0.0000 0.0000
Sr 0.0000 0.0000 2.9637
Sr 2.9637 0.0000 0.0000
```

The formation enthalpy at 0 K is 4.8 eV/f.u. Its space group is P4/mmm. For the density of states at the Fermi level, the calculation gives 7.36 states/eV/f.u.

---

[2]
Entry from the Alexandria database: an optimized crystal structure of TaReAs (GGA-PBE).

Geometry as extended XYZ:
```
6
Lattice="-0.4720 -0.2308 -4.4308 -3.8564 -1.3879 -1.7635 -3.5712 5.4851 -2.1518" Properties=species:S:1:pos:R:3 pbc="T T T"
Ta -3.4673 0.5674 -4.1533
Ta -4.4323 3.2990 -4.1928
As -1.7556 0.3459 -2.0776
As -6.1440 3.5205 -6.2686
Re -5.3052 1.1463 -6.2342
Re -2.5944 2.7200 -2.1119
```

The distance to the lowest polymorph of the same formula is 0.331 eV per atom. The formation enthalpy at 0 K is 0.8 eV/f.u. Its space group is R-3m. For the density of states at the Fermi level, the calculation gives 2.62 states/eV/f.u.

---

[3]
Entry from the Alexandria database: an optimized crystal structure of Ta2ReAs (GGA-PBE).

Geometry as extended XYZ:
```
8
Lattice="-0.7207 -0.5092 -3.8823 -0.8080 -3.8433 0.6541 -9.6073 -0.0844 -0.2469" Properties=species:S:1:pos:R:3 pbc="T T T"
Re 0.0000 0.0000 0.0000
Re -5.5462 -1.3850 -2.8717
As -0.7644 -2.1762 -1.6141
As -5.5898 -3.0520 -0.6034
Ta -2.9450 -0.8140 -2.3620
Ta -3.0052 -2.4926 -0.1826
Ta -7.7880 -1.7395 -1.3883
Ta -8.5339 -3.8277 -3.0173
```

The formation enthalpy at 0 K is 2.4 eV/f.u. Its space group is I-42d. For the density of states at the Fermi level, the calculation gives 3.13 states/eV/f.u.

---

[4]
Entry from the Alexandria database: an optimized crystal structure of Ta2ReAs (GGA-PBE).

Geometry as extended XYZ:
```
4
Lattice="-0.0731 0.8533 -4.5493 -0.8869 -4.5325 0.3154 -3.1322 0.6242 0.1671" Properties=species:S:1:pos:R:3 pbc="T T T"
Re -2.0096 -1.9542 0.2412
As -1.6027 0.7387 -2.1911
Ta 0.0000 0.0000 0.0000
Ta -0.4800 -1.8396 -2.1169
```

The formation enthalpy at 0 K is -0.3 eV/f.u. Its space group is Cmmm. For the density of states at the Fermi level, the calculation gives 2.24 states/eV/f.u.

---

[5]
Entry from the Alexandria database: an optimized crystal structure of TaReAs (GGA-PBE).

Geometry as extended XYZ:
```
3
Lattice="5.4264 0.2393 0.1830 4.8382 3.2173 0.6605 0.8022 -0.3200 2.9833" Properties=species:S:1:pos:R:3 pbc="T T T"
Re 6.9306 2.1654 1.6016
As 6.4059 0.1936 3.1479
Ta 3.9589 0.6968 2.2435
```

The distance to the lowest polymorph of the same formula is 0.070 eV per atom. The formation enthalpy at 0 K is 0.0 eV/f.u. Its space group is Cm. For the density of states at the Fermi level, the calculation gives 2.36 states/eV/f.u.

---

[6]
Entry from the Alexandria database: an optimized crystal structure of Ta2ReAs (GGA-PBE).

Geometry as extended XYZ:
```
4
Lattice="-0.4925 -1.4888 -3.0413 3.2663 -0.4307 -0.3181 1.1871 -5.5999 2.5490" Properties=species:S:1:pos:R:3 pbc="T T T"
Re 2.4726 -5.2805 0.2596
As 2.8587 -2.8744 0.9441
Ta 4.2534 -5.9561 2.2268
Ta 1.0562 -2.4544 -0.8945
```

The formation enthalpy at 0 K is -0.7 eV/f.u. Its space group is Amm2. For the density of states at the Fermi level, the calculation gives 1.43 states/eV/f.u.

---

[7]
Entry from the Alexandria database: an optimized crystal structure of Ta2ReAs (GGA-PBE).

Geometry as extended XYZ:
```
4
Lattice="-1.5604 2.1007 4.3373 -3.4944 -0.5786 3.6214 1.3252 -2.0601 4.1298" Properties=species:S:1:pos:R:3 pbc="T T T"
Re -0.9324 -0.1345 3.0221
As -2.7971 -0.4035 9.0663
Ta 1.2887 -2.0396 4.1518
Ta -1.8283 -0.2895 6.0222
```

The formation enthalpy at 0 K is -0.1 eV/f.u. Its space group is Immm. For the density of states at the Fermi level, the calculation gives 2.50 states/eV/f.u.

---

[8]
Entry from the Alexandria database: an optimized crystal structure of Ta2ReAs (GGA-PBE).

Geometry as extended XYZ:
```
4
Lattice="-2.6272 1.9376 -0.5218 -1.1397 -2.1148 -2.1145 -3.9416 -4.4875 3.1820" Properties=species:S:1:pos:R:3 pbc="T T T"
Re -5.1245 -3.9829 0.5397
As -2.5839 -0.6818 0.0060
Ta -3.9938 -4.5935 3.0511
Ta -2.4884 -3.1951 0.6646
```

The formation enthalpy at 0 K is -0.5 eV/f.u. Its space group is P2/m. For the density of states at the Fermi level, the calculation gives 1.74 states/eV/f.u.

---

[9]
Entry from the Alexandria database: an optimized crystal structure of TaReAs (GGA-PBE).

Geometry as extended XYZ:
```
3
Lattice="4.3450 0.0000 0.0000 -2.1725 3.7629 0.0000 0.0000 0.0000 2.9587" Properties=species:S:1:pos:R:3 pbc="T T T"
Re 2.1725 1.2543 0.4930
As 0.0000 0.0000 0.4927
Ta 0.0000 2.5086 1.9730
```

The distance to the lowest polymorph of the same formula is 0.000 eV per atom. The formation enthalpy at 0 K is -0.2 eV/f.u. Its space group is P-6m2. For the density of states at the Fermi level, the calculation gives 2.72 states/eV/f.u.

---

[10]
Entry from the Alexandria database: an optimized crystal structure of Ta2ReAs (GGA-PBE).

Geometry as extended XYZ:
```
4
Lattice="2.9311 -0.0067 0.0000 -1.0563 2.7342 0.0000 0.0000 0.0000 8.4562" Properties=species:S:1:pos:R:3 pbc="T T T"
Re 0.9374 1.3637 6.2747
As 0.0000 0.0000 4.2657
Ta 0.0000 0.0000 8.3840
Ta 0.9374 1.3637 2.2160
```

The formation enthalpy at 0 K is 0.4 eV/f.u. Its space group is Cmm2. For the density of states at the Fermi level, the calculation gives 3.05 states/eV/f.u.

---

[11]
Entry from the Alexandria database: an optimized crystal structure of TaReAs (GGA-PBE).

Geometry as extended XYZ:
```
3
Lattice="-3.5631 4.1639 1.0625 -4.0428 0.8279 3.7593 5.2378 -1.6121 -1.0625" Properties=species:S:1:pos:R:3 pbc="T T T"
Re -2.6626 1.7475 1.6879
As -7.4827 4.9108 4.7436
Ta -5.0667 3.3253 3.2120
```

The distance to the lowest polymorph of the same formula is 0.102 eV per atom. The formation enthalpy at 0 K is 0.1 eV/f.u. Its space group is I4mm. For the density of states at the Fermi level, the calculation gives 2.50 states/eV/f.u.

---

[12]
Entry from the Alexandria database: an optimized crystal structure of Ta2ReAs (GGA-PBE).

Geometry as extended XYZ:
```
4
Lattice="-1.8641 -2.0784 -1.6761 2.4615 -3.4629 1.5564 -2.7758 -0.3761 3.5534" Properties=species:S:1:pos:R:3 pbc="T T T"
Re -2.3200 -1.2272 0.9386
As 0.2987 -2.7706 -0.0599
Ta 0.0000 0.0000 0.0000
Ta -0.1572 -1.9195 2.5549
```

The formation enthalpy at 0 K is 0.1 eV/f.u. Its space group is P4/mmm. For the density of states at the Fermi level, the calculation gives 3.15 states/eV/f.u.

---

| no. | VASP energy (eV per cell) |
| --- | --- |
| 1 | -16.96 |
| 2 | -56.26 |
| 3 | -76.86 |
| 4 | -41.10 |
| 5 | -28.91 |
| 6 | -41.49 |
| 7 | -40.90 |
| 8 | -41.32 |
| 9 | -29.12 |
| 10 | -40.41 |
| 11 | -28.82 |
| 12 | -40.69 |